# Y2Ho3Mg PBE optimized geometry
data_Y2Ho3Mg
_chemical_formula_sum 'Y4 Ho6 Mg2'
_space_group_name_H-M_alt 'I m m m'
_space_group_IT_number 71
_space_group_name_Hall '-I 2 2'
_cell_length_a 3.3399
_cell_length_b 6.1158
_cell_length_c 18.9114
_cell_angle_alpha 90.00
_cell_angle_beta 90.00
_cell_angle_gamma 90.00
loop_
_atom_site_label
_atom_site_type_symbol
_atom_site_fract_x
_atom_site_fract_y
_atom_site_fract_z
_atom_site_occupancy
Y1 Y 0.0000 0.0000 0.1590 1
Ho1 Ho 0.0000 0.0000 0.3338 1
Ho2 Ho 0.0000 0.5000 0.5000 1
Mg1 Mg 0.0000 0.0000 0.5000 1
# **Energy of formation**: 0.4161 eV per atom
# **Total moment**: 1.8 Bohr magnetons per cell
# **E**: -4.293 eV per atom